This record from Alexandria describes a geometry-optimized Y4In5Pt2 structure. The functional is PBE-GGA.

Results
total magnetization = 0.00 μB/cell
raw total energy = -59.84 eV/cell
space group = P2/m

a = 7.7219 Å, b = 3.6457 Å, c = 9.7259 Å
α = 90.00°, β = 94.24°, γ = 90.00°
Last column: nearest neighbours and their distance in Å.
Atoms (fractional coordinates):
Y 0.1789 0.0000 0.3579  2 Pt 2.87
Y 0.2234 0.0000 0.9397  4 Pt 2.96-2.99
Y 0.7766 0.0000 0.0603  4 Pt 2.96-2.99
Y 0.8211 0.0000 0.6421  2 Pt 2.87
In 0.1728 0.5000 0.6492  1 Pt 2.91, 2 In 3.01-3.22
In 0.4548 0.5000 0.1780  1 Pt 2.93, 2 In 3.13-3.22
In 0.5000 0.5000 0.5000  4 In 3.01-3.13, 4 Y 3.30
In 0.5452 0.5000 0.8220  1 Pt 2.93, 2 In 3.13-3.22
In 0.8272 0.5000 0.3508  1 Pt 2.91, 2 In 3.01-3.22
Pt 0.0743 0.5000 0.1395  1 Pt 2.87, 6 Y 2.87-2.99, 2 In 2.91-2.93
Pt 0.9257 0.5000 0.8605  1 Pt 2.87, 6 Y 2.87-2.99, 2 In 2.91-2.93